A geometry-optimized CaHfGa2 structure, computed with PBE.

abc: 5.0963 5.0963 3.1610
angles: 90.00 90.00 90.00
Last column: nearest neighbours and their distance in Å.
Fractional positions:
Ca: 0.0000 0.0000 0.0000  8 Ga 3.00, 2 Ca 3.16
Hf: 0.5000 0.5000 0.0000  8 Ga 3.00, 2 Hf 3.16
Ga: 0.0000 0.5000 0.5000  4 Hf 3.00, 4 Ca 3.00, 2 Ga 3.16
Ga: 0.5000 0.0000 0.5000  4 Hf 3.00, 4 Ca 3.00, 2 Ga 3.16

The total magnetization is 0.000 μB per formula unit. For the polymorph energy (0 for the lowest one), the calculation gives 7.8 kJ per mole of atoms. The density of states at the Fermi level is 2.4 states/eV/f.u.